Entry 1:
## NdTmMgSc (PBE)

Data for an optimized crystal structure of NdTmMgSc.

Output
Its crystal system is cubic. The calculation puts the total moment at 0.000 μB per atom.

Cell lengths 7.658, 7.658, 7.658 Å; angles 90.00, 90.00, 90.00 degrees
Space group F-43m (No. 216)
Inequivalent atoms, fractional coordinates:
1 Nd 0.000 0.000 0.000
2 Tm 0.000 0.000 0.500
3 Mg 0.250 0.250 0.750
4 Sc 0.250 0.250 0.250

***

Entry 2:
## LiDyEr (PBE)

Data for an optimized crystal structure of LiDyEr.

Output
Its crystal system is trigonal. The calculation puts the total moment at 0.000 μB per atom.

Cell lengths 3.4470, 3.4470, 8.2917 Å; angles 90.00, 90.00, 120.00 degrees
Space group P3m1 (No. 156)
Inequivalent atoms, fractional coordinates:
1 Li 0.0000 0.0000 0.0000
2 Dy 0.3333 0.6667 0.6673
3 Er 0.6667 0.3333 0.3295

***

Entry 3:
## Ga2AgOs (PBE)

Data for an optimized crystal structure of Ga2AgOs.

Output
Its crystal system is tetragonal. The calculation puts the total moment at 0.000 μB per atom.

Cell lengths 3.085, 3.085, 6.629 Å; angles 90.00, 90.00, 90.00 degrees
Space group P4/mmm (No. 123)
Inequivalent atoms, fractional coordinates:
1 Ga 0.000 0.000 0.219
2 Ag 0.500 0.500 0.500
3 Os 0.500 0.500 0.000

***

Entry 4:
## RbYPb2 (PBE)

Data for an optimized crystal structure of RbYPb2.

Output
Its crystal system is tetragonal. The calculation puts the total moment at 0.000 μB per atom.

Cell lengths 5.992, 5.992, 20.859 Å; angles 90.00, 90.00, 90.00 degrees
Space group I-42d (No. 122)
Inequivalent atoms, fractional coordinates:
1 Rb 0.000 0.000 0.000
2 Y 0.000 0.000 0.500
3 Pb 0.119 0.250 0.625

***

Per-record relative energy among the computed polymorphs, eV per formula unit: 0.123, 0.054, 0.000, 1.695
Per-record electronic total energy, eV/atom: -4.26, -3.58, -4.97, -3.61